Compound: NaMnCoF6
Source: Alexandria via LeMat-Bulk
Functional: PBE with a Hubbard U
Structure: relaxed

Properties
- Symmetry: P4_2nm
- E_tot: -5.208 eV/atom

a = 4.8422 Å, b = 4.8422 Å, c = 9.7650 Å
α = 90.00°, β = 90.00°, γ = 90.00°
Fractional coordinates of all 18 atoms:
F 0.7918 0.2082 0.8168
Mn 0.0000 0.0000 0.6684
Co 0.0000 0.0000 0.3356
F 0.1813 0.8187 0.5033
F 0.7082 0.7082 0.3168
F 0.2243 0.7757 0.1778
Na 0.5000 0.5000 0.5002
F 0.2082 0.7918 0.8168
F 0.8187 0.1813 0.5033
F 0.3187 0.3187 0.0033
F 0.7243 0.7243 0.6778
F 0.7757 0.2243 0.1778
F 0.2918 0.2918 0.3168
Co 0.5000 0.5000 0.8356
F 0.2757 0.2757 0.6778
F 0.6813 0.6813 0.0033
Na 0.0000 0.0000 0.0002
Mn 0.5000 0.5000 0.1684